A plane-wave DFT calculation with PBEsol was carried out for a relaxed AlAsBr3 crystal.

Unit cell a=5.105 b=5.105 c=5.105 alpha=90.00 beta=90.00 gamma=90.00
Positions (direct):
Al1 0.000 0.000 0.000
As1 0.500 0.500 0.500
Br1 0.000 0.000 0.500
Br2 0.000 0.500 0.000
Br3 0.500 0.000 0.000

Properties
- Calculated volume: 133.0 Å³/cell
- Space-group type: Pm-3m, No. 221
- ΔE_f (raw): 0.0042 eV per atom